# 1
A geometry-optimized BeBP2 structure. Source: the Alexandria database, functional PBE.

Calculated values
The energy relative to the lowest polymorph listed for this composition is 1170 meV per atom. As for the total magnetization: 0.00 μB/cell. The calculation puts the density of states at the Fermi level at 0.348 states/eV per atom. The value obtained for the energy of formation is 1.033 eV per atom.

Structure (CIF):
```
data_BeBP2
_chemical_formula_sum 'Be4 B4 P8'
_space_group_name_H-M_alt 'F m -3 m'
_space_group_IT_number 225
_space_group_name_Hall '-F 4 2 3'
_cell_length_a 5.564
_cell_length_b 5.564
_cell_length_c 5.564
_cell_angle_alpha 90.00
_cell_angle_beta 90.00
_cell_angle_gamma 90.00
loop_
_atom_site_label
_atom_site_type_symbol
_atom_site_fract_x
_atom_site_fract_y
_atom_site_fract_z
Be1 Be 0.000 0.000 0.000
B1 B 0.000 0.000 0.500
P1 P 0.250 0.250 0.250
```



# 2
A geometry-optimized Be2BP structure. Source: the Alexandria database, functional PBE.

Calculated values
The energy relative to the lowest polymorph listed for this composition is 46 meV per atom. As for the total magnetization: 0.00 μB/cell. The calculation puts the density of states at the Fermi level at 0.408 states/eV per atom. The value obtained for the energy of formation is 0.864 eV per atom.

Structure (CIF):
```
data_Be2BP
_chemical_formula_sum 'Be8 B4 P4'
_space_group_name_H-M_alt 'F m -3 m'
_space_group_IT_number 225
_space_group_name_Hall '-F 4 2 3'
_cell_length_a 5.328
_cell_length_b 5.328
_cell_length_c 5.328
_cell_angle_alpha 90.00
_cell_angle_beta 90.00
_cell_angle_gamma 90.00
loop_
_atom_site_label
_atom_site_type_symbol
_atom_site_fract_x
_atom_site_fract_y
_atom_site_fract_z
Be1 Be 0.250 0.250 0.250
B1 B 0.000 0.000 0.000
P1 P 0.000 0.000 0.500
```



# 3
A geometry-optimized BeB3P structure. Source: the Alexandria database, functional PBE.

Calculated values
The energy relative to the lowest polymorph listed for this composition is 0 meV per atom. As for the total magnetization: 0.00 μB/cell. The calculation puts the density of states at the Fermi level at 0.377 states/eV per atom. The value obtained for the energy of formation is 1.672 eV per atom.

Structure (CIF):
```
data_BeB3P
_chemical_formula_sum 'Be1 B3 P1'
_space_group_name_H-M_alt 'P m -3 m'
_space_group_IT_number 221
_space_group_name_Hall '-P 4 2 3'
_cell_length_a 3.826
_cell_length_b 3.826
_cell_length_c 3.826
_cell_angle_alpha 90.00
_cell_angle_beta 90.00
_cell_angle_gamma 90.00
loop_
_atom_site_label
_atom_site_type_symbol
_atom_site_fract_x
_atom_site_fract_y
_atom_site_fract_z
Be1 Be 0.000 0.000 0.000
B1 B 0.000 0.500 0.500
P1 P 0.500 0.500 0.500
```



# 4
A geometry-optimized BeBPPb2 structure. Source: the Alexandria database, functional PBE.

Calculated values
As for the total magnetization: 0.00 μB/cell. The calculation puts the density of states at the Fermi level at 0.449 states/eV per atom. The value obtained for the energy of formation is 0.577 eV per atom.

Structure (CIF):
```
data_BeBPPb2
_chemical_formula_sum 'Be1 B1 P1 Pb2'
_space_group_name_H-M_alt 'P 4/m m m'
_space_group_IT_number 123
_space_group_name_Hall '-P 4 2'
_cell_length_a 5.187
_cell_length_b 5.187
_cell_length_c 3.645
_cell_angle_alpha 90.00
_cell_angle_beta 90.00
_cell_angle_gamma 90.00
loop_
_atom_site_label
_atom_site_type_symbol
_atom_site_fract_x
_atom_site_fract_y
_atom_site_fract_z
Be1 Be 0.000 0.000 0.000
B1 B 0.000 0.000 0.500
P1 P 0.500 0.500 0.000
Pb1 Pb 0.000 0.500 0.500
```



# 5
A geometry-optimized BeBPS2 structure. Source: the Alexandria database, functional PBE.

Calculated values
The energy relative to the lowest polymorph listed for this composition is 299 meV per atom. As for the total magnetization: 0.00 μB/cell. The calculation puts the density of states at the Fermi level at 0.498 states/eV per atom.

Structure (CIF):
```
data_BeBPS2
_chemical_formula_sum 'Be1 B1 P1 S2'
_space_group_name_H-M_alt 'P 4/m m m'
_space_group_IT_number 123
_space_group_name_Hall '-P 4 2'
_cell_length_a 4.394
_cell_length_b 4.394
_cell_length_c 4.060
_cell_angle_alpha 90.00
_cell_angle_beta 90.00
_cell_angle_gamma 90.00
loop_
_atom_site_label
_atom_site_type_symbol
_atom_site_fract_x
_atom_site_fract_y
_atom_site_fract_z
Be1 Be 0.000 0.000 0.000
B1 B 0.500 0.500 0.500
P1 P 0.000 0.000 0.500
S1 S 0.000 0.500 0.000
```



# 6
A geometry-optimized BeBP2S structure. Source: the Alexandria database, functional PBE.

Calculated values
The energy relative to the lowest polymorph listed for this composition is 0 meV per atom. As for the total magnetization: 0.00 μB/cell. The calculation puts the density of states at the Fermi level at 0.570 states/eV per atom.

Structure (CIF):
```
data_BeBP2S
_chemical_formula_sum 'Be1 B1 P2 S1'
_space_group_name_H-M_alt 'P 4/m m m'
_space_group_IT_number 123
_space_group_name_Hall '-P 4 2'
_cell_length_a 4.022
_cell_length_b 4.022
_cell_length_c 4.250
_cell_angle_alpha 90.00
_cell_angle_beta 90.00
_cell_angle_gamma 90.00
loop_
_atom_site_label
_atom_site_type_symbol
_atom_site_fract_x
_atom_site_fract_y
_atom_site_fract_z
Be1 Be 0.000 0.000 0.000
B1 B 0.500 0.500 0.500
P1 P 0.000 0.500 0.500
S1 S 0.500 0.500 0.000
```



# 7
A geometry-optimized BeBP2S structure. Source: the Alexandria database, functional PBE.

Calculated values
The energy relative to the lowest polymorph listed for this composition is 313 meV per atom. As for the total magnetization: 0.00 μB/cell. The calculation puts the density of states at the Fermi level at 0.525 states/eV per atom.

Structure (CIF):
```
data_BeBP2S
_chemical_formula_sum 'Be1 B1 P2 S1'
_space_group_name_H-M_alt 'P 4/m m m'
_space_group_IT_number 123
_space_group_name_Hall '-P 4 2'
_cell_length_a 4.256
_cell_length_b 4.256
_cell_length_c 4.148
_cell_angle_alpha 90.00
_cell_angle_beta 90.00
_cell_angle_gamma 90.00
loop_
_atom_site_label
_atom_site_type_symbol
_atom_site_fract_x
_atom_site_fract_y
_atom_site_fract_z
Be1 Be 0.000 0.000 0.000
B1 B 0.500 0.500 0.500
P1 P 0.000 0.500 0.000
S1 S 0.000 0.000 0.500
```



# 8
A geometry-optimized BeBPS2 structure. Source: the Alexandria database, functional PBE.

Calculated values
The energy relative to the lowest polymorph listed for this composition is 0 meV per atom. As for the total magnetization: 0.00 μB/cell. The calculation puts the density of states at the Fermi level at 0.636 states/eV per atom.

Structure (CIF):
```
data_BeBPS2
_chemical_formula_sum 'Be1 B1 P1 S2'
_space_group_name_H-M_alt 'P 4/m m m'
_space_group_IT_number 123
_space_group_name_Hall '-P 4 2'
_cell_length_a 4.366
_cell_length_b 4.366
_cell_length_c 3.752
_cell_angle_alpha 90.00
_cell_angle_beta 90.00
_cell_angle_gamma 90.00
loop_
_atom_site_label
_atom_site_type_symbol
_atom_site_fract_x
_atom_site_fract_y
_atom_site_fract_z
Be1 Be 0.000 0.000 0.000
B1 B 0.500 0.500 0.500
P1 P 0.500 0.500 0.000
S1 S 0.000 0.500 0.500
```